A plane-wave DFT calculation with PBE was carried out for an optimized crystal structure of TlIrO3.

For the total energy, the calculation gives -0.218 Ha/atom. The crystal system is hexagonal. For the total magnetization, the calculation gives 0.02 μB/f.u.

The space group is P6_322 (No. 182) and the conventional cell measures 5.3998, 5.3998 and 12.4317 Å, with angles of 90.00, 90.00 and 120.00 degrees. The asymmetric unit holds Tl at (0.3333, 0.6667, 0.0582), Ir at (0.0000, 0.0000, 0.2500), Ir at (0.3333, 0.6667, 0.7500) and O at (0.0621, 0.3334, 0.6629).